Pr4CuSn | GGA-PBE | relaxed

Lattice parameters (Å, degrees): 10.7988 10.7988 6.5887 90.00 90.00 150.02
With the nearest neighbours (Å) after each atom.
Sites, in units of the cell vectors:
1 Pr 0.0516 0.9484 0.7500  1 Cu 2.82
2 Pr 0.2035 0.7965 0.5047  1 Cu 3.01, 2 Pr 3.23-3.36
3 Pr 0.2035 0.7965 0.9953  1 Cu 3.01, 2 Pr 3.23-3.36
4 Pr 0.3971 0.6029 0.7500  2 Cu 2.82
5 Pr 0.6029 0.3971 0.2500  2 Cu 2.82
6 Pr 0.7965 0.2035 0.0047  1 Cu 3.01, 2 Pr 3.23-3.36
7 Pr 0.7965 0.2035 0.4953  1 Cu 3.01, 2 Pr 3.23-3.36
8 Pr 0.9484 0.0516 0.2500  1 Cu 2.82
9 Cu 0.0837 0.9163 0.2500  5 Pr 2.82-3.01
10 Cu 0.9163 0.0837 0.7500  5 Pr 2.82-3.01
11 Sn 0.3512 0.6488 0.2500  10 Pr 3.42-3.51
12 Sn 0.6488 0.3512 0.7500  10 Pr 3.42-3.51

## Properties
**Final energy**: -56.78 eV per cell
**ΔH_f (0 K)**: -0.1954 eV per atom
**Total magnetization**: 0.00 μB/atom